HfBe3Br | Alexandria | GGA-PBE | relaxed; total moment = 0.00 Bohr magnetons per cell; D(E_F) = 0.605 states/eV/atom; crystal system = cubic; distance to the lowest polymorph of the same formula = 0.384 eV per atom
1.0
-1.620 2.716 -3.959
-4.042 1.483 2.671
2.590 4.012 1.692
Be Hf Br
3 1 1
direct
0.000 0.500 0.000
0.500 0.000 0.000
0.000 0.000 0.500
0.000 0.000 0.000
0.500 0.500 0.500

HfBe2PbBr | Alexandria | GGA-PBE | relaxed; total moment = 0.00 Bohr magnetons per cell; D(E_F) = 0.553 states/eV/atom; crystal system = tetragonal
1.0
4.477 0.000 0.000
0.000 5.108 0.000
0.000 0.000 4.477
Be Hf Pb Br
2 1 1 1
direct
0.000 0.000 0.500
0.500 0.000 0.000
0.000 0.500 0.000
0.500 0.500 0.500
0.000 0.000 0.000

Rb2HfBeBr6 | Alexandria | GGA-PBE | relaxed; total moment = 0.00 Bohr magnetons per cell; D(E_F) = 0.000 states/eV/atom; crystal system = cubic
1.0
-4.105 6.740 -1.969
-6.026 -4.553 -3.019
-7.613 1.048 2.659
Br Rb Be Hf
6 2 1 1
direct
0.771 0.771 0.459
0.771 0.229 0.000
0.771 0.771 0.000
0.229 0.771 0.000
0.229 0.229 0.541
0.229 0.229 0.000
0.750 0.250 0.500
0.250 0.750 0.500
0.500 0.500 0.000
0.000 0.000 0.000

HfBeSeBr2 | Alexandria | GGA-PBE | relaxed; total moment = 0.00 Bohr magnetons per cell; D(E_F) = 0.739 states/eV/atom; crystal system = tetragonal; distance to the lowest polymorph of the same formula = 0.201 eV per atom
1.0
-1.932 -0.361 -4.133
0.642 -4.530 0.096
-4.387 -0.577 2.101
Se Br Be Hf
1 2 1 1
direct
0.000 0.000 0.500
0.500 0.000 0.000
0.000 0.500 0.000
0.000 0.000 0.000
0.500 0.500 0.500

HfBeSe2Br | Alexandria | GGA-PBE | relaxed; total moment = 0.69 Bohr magnetons per cell; D(E_F) = 0.488 states/eV/atom; crystal system = tetragonal; distance to the lowest polymorph of the same formula = 0.000 eV per atom
1.0
5.168 0.000 0.000
0.000 5.168 0.000
0.000 0.000 5.313
Se Be Hf Br
2 1 1 1
direct
0.000 0.500 0.000
0.500 0.000 0.000
0.500 0.500 0.500
0.000 0.000 0.000
0.000 0.000 0.500

HfBeSeBr2 | Alexandria | GGA-PBE | relaxed; total moment = 0.00 Bohr magnetons per cell; D(E_F) = 0.530 states/eV/atom; crystal system = tetragonal; distance to the lowest polymorph of the same formula = 0.000 eV per atom
1.0
-5.129 -0.083 1.483
1.360 -2.397 4.573
0.570 4.574 2.228
Br Hf Se Be
2 1 1 1
direct
0.000 0.500 0.000
0.500 0.000 0.000
0.000 0.000 0.000
0.000 0.000 0.500
0.500 0.500 0.500

In the order shown, the computed energy values come out to -14.2; -17.6; -36.3; -20.1; -22.5; -21.1 eV/cell.